Material: AlGeRh3
Method: DFT, meta-GGA SCAN
State: single point on PBEsol structure

Computed properties:
energy of formation = 24.64 kJ per mole of atoms
M_tot = 0.00 μB per formula unit

Unit cell a=4.421 b=4.421 c=4.421 alpha=90.00 beta=90.00 gamma=90.00
Atoms (fractional coordinates):
Rh 0.000 0.500 0.000
Ge 0.000 0.000 0.000
Al 0.500 0.500 0.500
Rh 0.000 0.000 0.500
Rh 0.500 0.000 0.000

Material: AlZnGeRh2
Method: DFT, meta-GGA SCAN
State: single point on PBEsol structure

Computed properties:
energy of formation = 68.07 kJ per mole of atoms
M_tot = 0.00 μB per formula unit

Unit cell a=4.317 b=4.528 c=4.528 alpha=90.00 beta=90.00 gamma=90.00
Atoms (fractional coordinates):
Rh 0.000 0.000 0.500
Zn 0.000 0.000 0.000
Ge 0.500 0.500 0.500
Rh 0.000 0.500 0.000
Al 0.500 0.000 0.000

Q: What is the M_tot in the second record?
A: 0.00 μB per formula unit